#one
# LaZn2Ir2

A relaxed LaZn2Ir2 crystal (PBE, Alexandria).

The structure in extended XYZ format:
```
10
Lattice="4.1968 0.0000 0.0000 0.0000 4.1968 0.0000 0.0000 0.0000 11.0260" Properties=species:S:1:pos:R:3 pbc="T T T"
La 0.0000 0.0000 0.0000
La 2.0984 2.0984 5.5130
Zn 0.0000 2.0984 2.7565
Zn 0.0000 2.0984 8.2695
Zn 2.0984 0.0000 2.7565
Zn 2.0984 0.0000 8.2695
Ir 0.0000 0.0000 4.2743
Ir 0.0000 0.0000 6.7517
Ir 2.0984 2.0984 1.2387
Ir 2.0984 2.0984 9.7873
```

Computed properties:
- DOS at the Fermi energy: 5.3 states/eV per cell
- Volume: 19.42 A^3/atom
- Space-group type: I4/mmm (139)

#two
# LaZn2Ir2

A relaxed LaZn2Ir2 crystal (PBE, Alexandria).

The structure in extended XYZ format:
```
5
Lattice="4.1159 0.0000 0.0000 0.0000 4.1159 0.0000 0.0000 0.0000 5.7118" Properties=species:S:1:pos:R:3 pbc="T T T"
La 0.0000 0.0000 0.0000
Zn 0.0000 2.0579 2.8559
Zn 2.0579 0.0000 2.8559
Ir 2.0579 2.0579 1.2697
Ir 2.0579 2.0579 4.4420
```

Computed properties:
- DOS at the Fermi energy: 2.6 states/eV per cell
- Volume: 19.35 A^3/atom
- Space-group type: P4/mmm (123)

#three
# LaZn2Ir2

A relaxed LaZn2Ir2 crystal (PBE, Alexandria).

The structure in extended XYZ format:
```
10
Lattice="4.4997 0.0000 0.0000 0.0000 4.4997 0.0000 0.0000 0.0000 9.3792" Properties=species:S:1:pos:R:3 pbc="T T T"
La 0.0000 0.0000 0.0000
La 2.2498 2.2498 4.6896
Zn 0.0000 0.0000 3.4619
Zn 0.0000 0.0000 5.9174
Zn 2.2498 2.2498 1.2277
Zn 2.2498 2.2498 8.1515
Ir 0.0000 2.2498 2.3448
Ir 0.0000 2.2498 7.0344
Ir 2.2498 0.0000 2.3448
Ir 2.2498 0.0000 7.0344
```

Computed properties:
- DOS at the Fermi energy: 4.9 states/eV per cell
- Volume: 18.99 A^3/atom
- Space-group type: I4/mmm (139)

#four
# LaZn2Ir2

A relaxed LaZn2Ir2 crystal (PBE, Alexandria).

The structure in extended XYZ format:
```
10
Lattice="7.6006 0.0000 0.0000 0.0000 7.6006 0.0000 0.0000 0.0000 3.0294" Properties=species:S:1:pos:R:3 pbc="T T T"
La 0.0000 0.0000 0.0000
La 3.8003 3.8003 0.0000
Zn 0.9940 2.8063 1.5147
Zn 2.8063 6.6066 1.5147
Zn 4.7943 0.9940 1.5147
Zn 6.6066 4.7943 1.5147
Ir 1.2341 5.0345 0.0000
Ir 2.5662 1.2341 0.0000
Ir 5.0345 6.3665 0.0000
Ir 6.3665 2.5662 0.0000
```

Computed properties:
- DOS at the Fermi energy: 2.9 states/eV per cell
- Volume: 17.50 A^3/atom
- Space-group type: P4/mbm (127)

Q: Which of them is the most stable? A: #two.

#one
# La2Zn2Ir

A relaxed La2Zn2Ir crystal (PBE, Alexandria).

The structure in extended XYZ format:
```
10
Lattice="6.9777 0.0000 0.0000 0.0000 6.9777 0.0000 0.0000 0.0000 4.6182" Properties=species:S:1:pos:R:3 pbc="T T T"
La 1.2450 2.2438 0.0000
La 2.2438 5.7327 0.0000
La 4.7339 1.2450 0.0000
La 5.7327 4.7339 0.0000
Zn 0.9148 4.4036 2.3091
Zn 2.5741 0.9148 2.3091
Zn 4.4036 6.0629 2.3091
Zn 6.0629 2.5741 2.3091
Ir 0.0000 0.0000 2.3091
Ir 3.4888 3.4888 2.3091
```

Computed properties:
- DOS at the Fermi energy: 9.2 states/eV per cell
- Volume: 22.49 A^3/atom
- Space-group type: P4/mbm (127)

#two
# La2Zn2Ir

A relaxed La2Zn2Ir crystal (PBE, Alexandria).

The structure in extended XYZ format:
```
10
Lattice="5.5331 -2.0391 0.0000 5.5331 2.0391 0.0000 -4.0094 0.0000 10.6843" Properties=species:S:1:pos:R:3 pbc="T T T"
La -1.3233 0.0000 3.6497
La 1.6493 0.0000 1.3552
La 5.4076 0.0000 9.3290
La 8.3802 0.0000 7.0345
Zn 1.7373 0.0000 4.8083
Zn 4.8435 0.0000 1.1564
Zn 2.2134 0.0000 9.5279
Zn 5.3196 0.0000 5.8760
Ir 0.6254 0.0000 7.3633
Ir 6.4315 0.0000 3.3210
```

Computed properties:
- DOS at the Fermi energy: 6.5 states/eV per cell
- Volume: 24.11 A^3/atom
- Space-group type: C2/m (12)

Q: Which of them is the most stable? A: #two.

#one
# La3Zn4Ir4

A relaxed La3Zn4Ir4 crystal (PBE, Alexandria).

The structure in extended XYZ format:
```
11
Lattice="-2.1241 3.6405 7.1595 2.1241 -3.6405 7.1595 2.1241 3.6405 -7.1595" Properties=species:S:1:pos:R:3 pbc="T T T"
La 0.0000 0.0000 0.0000
La 2.1241 0.0000 5.3095
La 0.0000 3.6405 1.8500
Zn 2.1241 1.3728 -2.4434
Zn 2.1241 1.3728 2.4434
Zn 0.0000 2.2677 4.7161
Zn 0.0000 2.2677 9.6029
Ir 0.0000 0.0000 3.1262
Ir 2.1241 2.3211 0.0000
Ir 0.0000 1.3194 7.1595
Ir 0.0000 0.0000 11.1928
```

Computed properties:
- DOS at the Fermi energy: 4.9 states/eV per cell
- Volume: 20.13 A^3/atom
- Space-group type: Immm (71)

#two
# La3Zn4Ir4

A relaxed La3Zn4Ir4 crystal (PBE, Alexandria).

The structure in extended XYZ format:
```
11
Lattice="-3.8605 3.8605 3.8605 3.8605 -3.8605 3.8605 3.8605 3.8605 -3.8605" Properties=species:S:1:pos:R:3 pbc="T T T"
La 3.8605 0.0000 0.0000
La 0.0000 3.8605 0.0000
La 0.0000 0.0000 3.8605
Zn 2.9315 2.9315 -2.9315
Zn 2.9315 -2.9315 2.9315
Zn 0.9290 0.9290 0.9290
Zn -2.9315 2.9315 2.9315
Ir 1.5315 1.5315 -1.5315
Ir 1.5315 -1.5315 1.5315
Ir -1.5315 1.5315 1.5315
Ir 2.3290 2.3290 2.3290
```

Computed properties:
- DOS at the Fermi energy: 12.1 states/eV per cell
- Volume: 20.92 A^3/atom
- Space-group type: I-43m (217)

Q: Which of them is the most stable? A: #one.

#one
# LaZn4Ir

A relaxed LaZn4Ir crystal (PBE, Alexandria).

The structure in extended XYZ format:
```
12
Lattice="5.3634 0.0000 0.0000 0.0000 8.6117 0.0000 -0.0700 0.0000 5.4618" Properties=species:S:1:pos:R:3 pbc="T T T"
La 0.0000 0.0000 0.0000
La 2.6817 4.3058 0.0000
Zn 0.0007 4.3058 1.4287
Zn 1.3059 2.1529 2.7309
Zn 1.3059 6.4588 2.7309
Zn 2.6110 0.0000 4.0331
Zn 2.6824 0.0000 1.4287
Zn 3.9876 2.1529 2.7309
Zn 3.9876 6.4588 2.7309
Zn 5.2927 4.3058 4.0331
Ir -0.0350 0.0000 2.7309
Ir 2.6467 4.3058 2.7309
```

Computed properties:
- DOS at the Fermi energy: 3.6 states/eV per cell
- Volume: 21.02 A^3/atom
- Space-group type: C2/m (12)

#two
# LaZn4Ir

A relaxed LaZn4Ir crystal (PBE, Alexandria).

The structure in extended XYZ format:
```
6
Lattice="0.0000 3.7161 3.7161 3.7161 0.0000 3.7161 3.7161 3.7161 0.0000" Properties=species:S:1:pos:R:3 pbc="T T T"
La 0.0000 0.0000 0.0000
Zn 4.6311 2.8010 2.8010
Zn 2.8010 4.6311 2.8010
Zn 2.8010 2.8010 4.6311
Zn 4.6311 4.6311 4.6311
Ir 1.8580 1.8580 1.8580
```

Computed properties:
- Volume: 17.11 A^3/atom
- Space-group type: F-43m (216)

Q: Which of them is the most stable? A: #two.

#one
# La4ZnIr

A relaxed La4ZnIr crystal (PBE, Alexandria).

The structure in extended XYZ format:
```
24
Lattice="0.0000 7.0750 7.0750 7.0750 0.0000 7.0750 7.0750 7.0750 0.0000" Properties=species:S:1:pos:R:3 pbc="T T T"
La 3.5375 3.5375 0.8001
La 3.5375 0.8001 3.5375
La 6.2749 3.5375 3.5375
La 7.0750 7.0750 2.6854
La 7.0750 2.6854 7.0750
La 11.4647 7.0750 7.0750
La 8.4916 5.6585 5.6585
La 0.8001 3.5375 3.5375
La 3.5375 6.2749 3.5375
La 3.5375 3.5375 6.2749
La 5.6585 8.4916 5.6585
La 5.6585 5.6585 8.4916
La 8.4916 8.4916 8.4916
La 2.6854 7.0750 7.0750
La 7.0750 11.4647 7.0750
La 7.0750 7.0750 11.4647
Zn 11.7216 9.5035 9.5035
Zn 9.5035 11.7216 9.5035
Zn 9.5035 9.5035 11.7216
Zn 11.7216 11.7216 11.7216
Ir 5.5349 5.5349 5.5349
Ir 8.6152 8.6152 5.5349
Ir 8.6152 5.5349 8.6152
Ir 5.5349 8.6152 8.6152
```

Computed properties:
- DOS at the Fermi energy: 21.1 states/eV per cell
- Volume: 29.51 A^3/atom
- Space-group type: F-43m (216)

#two
# La4ZnIr

A relaxed La4ZnIr crystal (PBE, Alexandria).

The structure in extended XYZ format:
```
6
Lattice="0.0000 4.3927 4.3927 4.3927 0.0000 4.3927 4.3927 4.3927 0.0000" Properties=species:S:1:pos:R:3 pbc="T T T"
La 3.3065 3.3065 3.3065
La 5.4788 5.4788 3.3065
La 5.4788 3.3065 5.4788
La 3.3065 5.4788 5.4788
Zn 0.0000 0.0000 0.0000
Ir 6.5890 6.5890 6.5890
```

Computed properties:
- DOS at the Fermi energy: 11.9 states/eV per cell
- Volume: 28.25 A^3/atom
- Space-group type: F-43m (216)

Q: Which of them is the most stable? A: #one.

#one
# LaZrIr3

A relaxed LaZrIr3 crystal (PBE, Alexandria).

The structure in extended XYZ format:
```
5
Lattice="4.8878 0.0000 0.0000 0.0000 4.8878 0.0000 0.0000 0.0000 4.8878" Properties=species:S:1:pos:R:3 pbc="T T T"
La 0.0000 0.0000 0.0000
Zr 2.4439 2.4439 2.4439
Ir 0.0000 0.0000 2.4439
Ir 0.0000 2.4439 0.0000
Ir 2.4439 0.0000 0.0000
```

Computed properties:
- DOS at the Fermi energy: 4.5 states/eV per cell
- Volume: 23.36 A^3/atom
- Space-group type: Pm-3m (221)

#two
# LaZrIr3

A relaxed LaZrIr3 crystal (PBE, Alexandria).

The structure in extended XYZ format:
```
5
Lattice="4.9178 0.0000 0.0000 0.0000 4.9178 0.0000 0.0000 0.0000 4.9178" Properties=species:S:1:pos:R:3 pbc="T T T"
La 0.0000 0.0000 0.0000
Zr 2.4589 2.4589 2.4589
Ir 0.0000 2.4589 2.4589
Ir 2.4589 0.0000 2.4589
Ir 2.4589 2.4589 0.0000
```

Computed properties:
- DOS at the Fermi energy: 3.6 states/eV per cell
- Volume: 23.79 A^3/atom
- Space-group type: Pm-3m (221)

Q: Which of them is the most stable? A: #two.

#one
# Li3Ir2

A relaxed Li3Ir2 crystal (PBE, Alexandria).

The structure in extended XYZ format:
```
5
Lattice="4.4230 0.0000 0.0000 -2.2115 3.8304 0.0000 0.0000 0.0000 4.9158" Properties=species:S:1:pos:R:3 pbc="T T T"
Li 0.0000 0.0000 0.0000
Li 0.0000 2.5536 2.4579
Li 2.2115 1.2768 2.4579
Ir 0.0000 2.5536 0.0000
Ir 2.2115 1.2768 0.0000
```

Computed properties:
- DOS at the Fermi energy: 2.9 states/eV per cell
- Volume: 16.66 A^3/atom
- Space-group type: P6/mmm (191)

#two
# Li3Ir2

A relaxed Li3Ir2 crystal (PBE, Alexandria).

The structure in extended XYZ format:
```
10
Lattice="9.1707 0.0000 0.0000 0.0000 2.7401 0.0000 -4.0111 0.0000 5.2446" Properties=species:S:1:pos:R:3 pbc="T T T"
Li 0.0000 0.0000 0.0000
Li -0.5922 1.3701 2.1189
Li 1.1664 0.0000 3.1257
Li 4.5854 1.3701 0.0000
Li 3.9932 0.0000 2.1189
Li 5.7518 1.3701 3.1257
Ir -1.5500 0.0000 4.1659
Ir 2.1242 1.3701 1.0787
Ir 3.0354 1.3701 4.1659
Ir 6.7096 0.0000 1.0787
```

Computed properties:
- DOS at the Fermi energy: 5.0 states/eV per cell
- Volume: 13.18 A^3/atom
- Space-group type: C2/m (12)

#three
# Li3Ir2

A relaxed Li3Ir2 crystal (PBE, Alexandria).

The structure in extended XYZ format:
```
15
Lattice="2.6782 0.0000 0.0000 -1.3391 2.3194 0.0000 0.0000 0.0000 34.1862" Properties=species:S:1:pos:R:3 pbc="T T T"
Li 0.0000 0.0000 0.0000
Li 0.0000 0.0000 7.0024
Li 0.0000 0.0000 27.1838
Li 0.0000 1.5463 15.7884
Li 0.0000 1.5463 22.7908
Li 0.0000 1.5463 29.7932
Li 1.3391 0.7731 4.3930
Li 1.3391 0.7731 11.3954
Li 1.3391 0.7731 18.3977
Ir 0.0000 0.0000 13.6116
Ir 0.0000 0.0000 20.5746
Ir 0.0000 1.5463 2.2162
Ir 0.0000 1.5463 9.1792
Ir 1.3391 0.7731 25.0070
Ir 1.3391 0.7731 31.9700
```

Computed properties:
- DOS at the Fermi energy: 10.0 states/eV per cell
- Volume: 14.16 A^3/atom
- Space-group type: R-3m (166)

Q: Which of them is the most stable? A: #three.

#one
# Li5Ir3

A relaxed Li5Ir3 crystal (PBE, Alexandria).

The structure in extended XYZ format:
```
16
Lattice="0.0000 8.7969 2.5644 4.8827 0.0000 2.5644 4.8827 8.7969 0.0000" Properties=species:S:1:pos:R:3 pbc="T T T"
Li 0.0000 0.0000 0.0000
Li 1.3139 2.2568 0.0808
Li 3.5688 6.5401 0.0808
Li 6.2013 6.5471 2.6399
Li 8.4515 11.0537 2.6452
Li 4.8827 8.7969 2.5577
Li 6.2013 11.0467 2.6399
Li 3.5641 6.5471 2.6399
Li 6.1966 15.3370 2.6452
Li 3.5641 11.0467 2.6399
Ir 7.2720 8.7969 1.3230
Ir 2.4413 4.3985 1.3715
Ir 4.8827 4.4043 2.6575
Ir 2.4933 8.7969 1.3230
Ir 7.3240 13.1954 3.9359
Ir 4.8827 13.1896 2.6575
```

Computed properties:
- DOS at the Fermi energy: 8.2 states/eV per cell
- Volume: 13.77 A^3/atom
- Space-group type: Fmm2 (42)

#two
# Li5Ir3

A relaxed Li5Ir3 crystal (PBE, Alexandria).

The structure in extended XYZ format:
```
16
Lattice="7.9522 0.0000 0.0000 -3.9761 6.8868 0.0000 0.0000 0.0000 4.5427" Properties=species:S:1:pos:R:3 pbc="T T T"
Li -0.9343 1.6182 1.1357
Li -3.0418 5.2686 3.4070
Li 1.8686 0.0000 1.1357
Li 0.9343 1.6182 3.4070
Li 0.0000 4.5912 0.0000
Li 0.0000 4.5912 2.2713
Li 3.9761 2.2956 0.0000
Li 3.9761 2.2956 2.2713
Li 6.0836 0.0000 3.4070
Li 3.0418 5.2686 1.1357
Ir -1.7604 3.0491 3.4070
Ir -2.2157 3.8377 1.1357
Ir 3.5208 0.0000 3.4070
Ir 1.7604 3.0491 1.1357
Ir 4.4314 0.0000 1.1357
Ir 2.2157 3.8377 3.4070
```

Computed properties:
- DOS at the Fermi energy: 8.2 states/eV per cell
- Volume: 15.55 A^3/atom
- Space-group type: P6_3/mcm (193)

Q: Which of them is the most stable? A: #one.